This record from Alexandria describes a relaxed structure of La2InHgN. The functional is GGA-PBE.

Energy above the most stable polymorph in this dataset: 1.7231 eV/atom
V: 36.19 Å³ per atom

Cell lengths 5.9714, 5.9714, 5.0750 Å; angles 90.00, 90.00, 90.00 degrees
Space group P4/mmm (No. 123)
One atom of each set of equivalent atoms:
La (0.0000, 0.5000, 0.0000) x2
In (0.0000, 0.0000, 0.5000) x1
Hg (0.0000, 0.0000, 0.0000) x1
N (0.5000, 0.5000, 0.5000) x1



This record from Alexandria describes a relaxed structure of AsP2Au. The functional is GGA-PBE.

V: 20.30 Å³ per atom
ΔH_f (0 K): 0.12 eV per atom

Cell lengths 3.2658, 4.1484, 6.3192 Å; angles 78.34, 84.03, 75.90 degrees
Space group P1 (No. 1)
One atom of each set of equivalent atoms:
As (0.0000, 0.0000, 0.0000) x1
P (0.1799, 0.4652, 0.2358) x1
P (0.6327, 0.4684, 0.4738) x1
Au (0.5859, 0.8890, 0.6949) x1



This record from Alexandria describes a relaxed structure of ZnReRh3. The functional is GGA-PBE.

Energy above the most stable polymorph in this dataset: 0.2705 eV/atom
V: 17.31 Å³ per atom
ΔH_f (0 K): 1.43 eV per atom

Cell lengths 4.4232, 4.4232, 4.4232 Å; angles 90.00, 90.00, 90.00 degrees
Space group Pm-3m (No. 221)
One atom of each set of equivalent atoms:
Zn (0.0000, 0.0000, 0.0000) x1
Re (0.5000, 0.5000, 0.5000) x1
Rh (0.0000, 0.0000, 0.5000) x3



This record from Alexandria describes a relaxed structure of CaPr9Tl2. The functional is GGA-PBE.

V: 33.43 Å³ per atom
ΔH_f (0 K): -0.11 eV per atom

Cell lengths 5.0667, 5.0667, 15.6286 Å; angles 90.00, 90.00, 90.00 degrees
Space group P4/mmm (No. 123)
One atom of each set of equivalent atoms:
Ca (0.0000, 0.0000, 0.0000) x1
Pr (0.0000, 0.5000, 0.1782) x4
Pr (0.0000, 0.5000, 0.5000) x2
Pr (0.5000, 0.5000, 0.0000) x1
Pr (0.5000, 0.5000, 0.3378) x2
Tl (0.0000, 0.0000, 0.3407) x2